Entry from the Alexandria database: a relaxed structure of DyYCoNi (PBE).

Unit cell a=6.7230 b=6.7230 c=6.7230 alpha=90.00 beta=90.00 gamma=90.00
Last column: nearest neighbours and their distance in Å.
Space group F-43m (No. 216)
One atom of each set of equivalent atoms:
Dy 0.0000 0.0000 0.0000 x4  4 Co 2.91, 4 Ni 2.91
Y 0.0000 0.0000 0.5000 x4  4 Co 2.91, 4 Ni 2.91
Co 0.2500 0.2500 0.7500 x4  4 Dy 2.91, 4 Y 2.91
Ni 0.2500 0.2500 0.2500 x4  4 Dy 2.91, 4 Y 2.91

Calculated values
The volume is 18.99 Å³/atom. The calculation puts the energy above the most stable polymorph in this dataset at 59 meV per atom.